Computed, not measured: crystalline Tc3SnN at its relaxed geometry at the PBE level of DFT.

a b c (Å): 5.2039 5.2039 5.2039
angles (deg): 90.50 90.50 90.50
Element x y z (fractional)
1 Tc 0.9605 0.5395 0.2500
2 Tc 0.4605 0.7500 0.0395
3 N 0.7500 0.7500 0.7500
4 N 0.2500 0.2500 0.2500
5 Tc 0.0395 0.4605 0.7500
6 Sn 0.5000 0.5000 0.5000
7 Tc 0.2500 0.9605 0.5395
8 Tc 0.5395 0.2500 0.9605
9 Tc 0.7500 0.0395 0.4605
10 Sn 0.0000 0.0000 0.0000

Results
Raw formation energy in eV per atom: 0.546
Uncorrected energy in eV per atom: -8.139
Excess energy over the best structure of this formula in the dataset in eV/atom: 0.503